[1]
# LaFeAg2 PBE relaxed
# Electronic total energy   -4.56 eV per atom
# Calculated volume   20.63 Å³ per atom
# Energy of formation   0.86 eV/f.u.
# Space group   No. 123
data_LaFeAg2
_chemical_formula_sum 'La1 Fe1 Ag2'
_cell_length_a 3.301
_cell_length_b 3.301
_cell_length_c 7.572
_cell_angle_alpha 90.00
_cell_angle_beta 90.00
_cell_angle_gamma 90.00
_space_group_name_H-M_alt 'P 1'
_space_group_IT_number 1
loop_
_space_group_symop_operation_xyz
'x,y,z'
loop_
_atom_site_label
_atom_site_type_symbol
_atom_site_fract_x
_atom_site_fract_y
_atom_site_fract_z
Ag1 Ag 0.000 0.000 0.057
Ag2 Ag 0.000 0.000 0.443
Fe1 Fe 0.500 0.500 0.250
La1 La 0.500 0.500 0.750

---

[2]
# Li2ScGa2 PBE relaxed
# Electronic total energy   -3.55 eV per atom
# Calculated volume   16.43 Å³ per atom
# Energy of formation   -1.56 eV/f.u.
# Space group   No. 127
# Energy relative to the lowest polymorph listed for this composition   2.8 kJ/mol of atoms
data_Li2ScGa2
_chemical_formula_sum 'Li4 Sc2 Ga4'
_cell_length_a 7.605
_cell_length_b 7.605
_cell_length_c 2.841
_cell_angle_alpha 90.00
_cell_angle_beta 90.00
_cell_angle_gamma 90.00
_space_group_name_H-M_alt 'P 1'
_space_group_IT_number 1
loop_
_space_group_symop_operation_xyz
'x,y,z'
loop_
_atom_site_label
_atom_site_type_symbol
_atom_site_fract_x
_atom_site_fract_y
_atom_site_fract_z
Sc1 Sc 0.000 0.000 0.000
Sc2 Sc 0.500 0.500 0.000
Ga1 Ga 0.182 0.682 0.500
Ga2 Ga 0.682 0.818 0.500
Ga3 Ga 0.818 0.318 0.500
Ga4 Ga 0.318 0.182 0.500
Li1 Li 0.383 0.883 0.000
Li2 Li 0.883 0.617 0.000
Li3 Li 0.617 0.117 0.000
Li4 Li 0.117 0.383 0.000

---

[3]
# RbTl8Sb4 PBE relaxed
# ΔE_f (raw)   -0.021 eV per atom
# Electronic total energy   -2.82 eV per atom
# Calculated volume   33.28 Å³ per atom
# Space group   No. 139
data_RbTl8Sb4
_chemical_formula_sum 'Rb1 Tl8 Sb4'
_cell_length_a 6.573
_cell_length_b 8.753
_cell_length_c 8.753
_cell_angle_alpha 81.90
_cell_angle_beta 67.95
_cell_angle_gamma 67.95
_space_group_name_H-M_alt 'P 1'
_space_group_IT_number 1
loop_
_space_group_symop_operation_xyz
'x,y,z'
loop_
_atom_site_label
_atom_site_type_symbol
_atom_site_fract_x
_atom_site_fract_y
_atom_site_fract_z
Rb1 Rb 0.000 0.000 0.000
Tl1 Tl 0.000 0.354 0.646
Tl2 Tl 0.000 0.646 0.354
Tl3 Tl 0.354 0.646 0.646
Tl4 Tl 0.646 0.354 0.354
Tl5 Tl 0.500 0.793 0.207
Tl6 Tl 0.500 0.207 0.793
Tl7 Tl 0.293 0.207 0.207
Tl8 Tl 0.707 0.793 0.793
Sb1 Sb 0.000 0.000 0.500
Sb2 Sb 0.500 0.000 0.500
Sb3 Sb 0.000 0.500 0.000
Sb4 Sb 0.500 0.500 0.000

---

[4]
# K2YCr PBE relaxed
# Electronic total energy   -3.64 eV per atom
# Calculated volume   38.34 Å³ per atom
# Energy of formation   3.72 eV/f.u.
# Space group   No. 65
# Energy relative to the lowest polymorph listed for this composition   34.7 kJ/mol of atoms
data_K2YCr
_chemical_formula_sum 'K2 Y1 Cr1'
_cell_length_a 7.318
_cell_length_b 7.318
_cell_length_c 3.471
_cell_angle_alpha 90.00
_cell_angle_beta 90.00
_cell_angle_gamma 124.41
_space_group_name_H-M_alt 'P 1'
_space_group_IT_number 1
loop_
_space_group_symop_operation_xyz
'x,y,z'
loop_
_atom_site_label
_atom_site_type_symbol
_atom_site_fract_x
_atom_site_fract_y
_atom_site_fract_z
Cr1 Cr 0.000 0.500 0.500
K1 K 0.000 0.000 0.000
K2 K 0.500 0.500 0.000
Y1 Y 0.500 0.000 0.500

---

[5]
# Ca3ErU3N8 PBE relaxed
# ΔE_f (raw)   -1.261 eV per atom
# Electronic total energy   -8.66 eV per atom
# Calculated volume   15.79 Å³ per atom
# Space group   No. 166
data_Ca3ErU3N8
_chemical_formula_sum 'Ca3 Er1 U3 N8'
_cell_length_a 6.937
_cell_length_b 6.936
_cell_length_c 6.953
_cell_angle_alpha 119.93
_cell_angle_beta 90.00
_cell_angle_gamma 120.00
_space_group_name_H-M_alt 'P 1'
_space_group_IT_number 1
loop_
_space_group_symop_operation_xyz
'x,y,z'
loop_
_atom_site_label
_atom_site_type_symbol
_atom_site_fract_x
_atom_site_fract_y
_atom_site_fract_z
Ca1 Ca 0.000 0.000 0.000
Ca2 Ca 0.000 0.500 0.000
Ca3 Ca 0.500 0.500 0.000
Er1 Er 0.000 0.000 0.500
U1 U 0.500 0.000 0.500
U2 U 0.500 0.500 0.500
U3 U 0.000 0.500 0.500
N1 N 0.258 0.517 0.275
N2 N 0.742 0.483 0.725
N3 N 0.764 0.528 0.308
N4 N 0.236 0.472 0.692
N5 N 0.764 0.044 0.308
N6 N 0.236 0.956 0.692
N7 N 0.280 0.044 0.308
N8 N 0.720 0.956 0.692

---

[6]
# VMo2As PBE relaxed
# Electronic total energy   -8.46 eV per atom
# Calculated volume   16.36 Å³ per atom
# Energy of formation   1.59 eV/f.u.
# Space group   No. 122
data_VMo2As
_chemical_formula_sum 'V2 Mo4 As2'
_cell_length_a 3.726
_cell_length_b 3.726
_cell_length_c 9.788
_cell_angle_alpha 79.03
_cell_angle_beta 79.03
_cell_angle_gamma 90.00
_space_group_name_H-M_alt 'P 1'
_space_group_IT_number 1
loop_
_space_group_symop_operation_xyz
'x,y,z'
loop_
_atom_site_label
_atom_site_type_symbol
_atom_site_fract_x
_atom_site_fract_y
_atom_site_fract_z
Mo1 Mo 0.635 0.125 0.250
Mo2 Mo 0.115 0.625 0.250
Mo3 Mo 0.375 0.365 0.750
Mo4 Mo 0.875 0.885 0.750
As1 As 0.000 0.000 0.000
As2 As 0.750 0.250 0.500
V1 V 0.500 0.500 0.000
V2 V 0.250 0.750 0.500